Below is a relaxed structure of CaNb2Cu, with properties calculated at the PBE-GGA level.

M_tot in μB per atom: 0.0000
Calculated volume in Å³/atom: 20.53
Formation energy in kcal/mol of atoms: 15.31
Relative energy among the computed polymorphs in kJ/mol of formula units: 0
Symmetry: I-42d, No. 122

Lattice parameters (Å, degrees): 3.8804 3.8804 11.2488 80.07 80.07 90.00
Last column: nearest neighbours and their distance in Å.
Element x y z (fractional)
Nb: 0.6423 0.1250 0.2500  4 Nb 2.65-2.84
Nb: 0.1077 0.6250 0.2500  4 Nb 2.65-2.84
Nb: 0.3750 0.3577 0.7500  4 Nb 2.65-2.84
Nb: 0.8750 0.8923 0.7500  4 Nb 2.65-2.84
Ca: 0.5000 0.5000 0.0000  4 Cu 2.74
Ca: 0.2500 0.7500 0.5000  4 Cu 2.74
Cu: 0.0000 0.0000 0.0000  4 Ca 2.74, 4 Nb 3.03
Cu: 0.7500 0.2500 0.5000  4 Ca 2.74, 4 Nb 3.03


Below is a relaxed structure of NaEr2Pb3S6, with properties calculated at the PBE-GGA level.

M_tot in μB per atom: 0.0000
Calculated volume in Å³/atom: 25.11
Formation energy (no corrections) in eV/atom: -1.165
Symmetry: C2/m, No. 12

Lattice parameters (Å, degrees): 3.9168 8.8922 9.1922 105.23 102.30 90.00
Last column: nearest neighbours and their distance in Å.
Element x y z (fractional)
Na: 0.5000 0.0000 0.0000  6 S 2.97
Er: 0.8355 0.6667 0.6711  6 S 2.67-2.81
Er: 0.1645 0.3333 0.3289  6 S 2.67-2.81
Pb: 0.5000 0.5000 0.0000  6 S 2.97-3.02
Pb: 0.8396 0.1599 0.6792  6 S 2.95-3.28
Pb: 0.1604 0.8401 0.3208  6 S 2.95-3.28
S: 0.3289 0.8739 0.6579  2 Er 2.71, 1 Pb 2.96, 1 Na 2.97
S: 0.6734 0.5527 0.3468  3 Er 2.74-2.81, 1 Pb 3.02
S: 0.6711 0.1261 0.3421  2 Er 2.71, 1 Pb 2.96, 1 Na 2.97
S: 0.0101 0.2553 0.0201  1 Er 2.67, 3 Pb 2.95-2.97, 2 Na 2.97
S: 0.9899 0.7447 0.9799  1 Er 2.67, 3 Pb 2.95-2.97, 2 Na 2.97
S: 0.3266 0.4473 0.6532  3 Er 2.74-2.81, 1 Pb 3.02


Below is a relaxed structure of PPbN2O, with properties calculated at the PBE-GGA level.

M_tot in μB per atom: 0.2158
Calculated volume in Å³/atom: 17.52
Formation energy (no corrections) in eV/atom: 1.879
Symmetry: P4/mmm, No. 123

Lattice parameters (Å, degrees): 4.5538 4.5538 4.2247 90.00 90.00 90.00
Last column: nearest neighbours and their distance in Å.
Element x y z (fractional)
Pb: 0.0000 0.0000 0.0000  2 O 2.11, 4 N 2.28
P: 0.5000 0.5000 0.5000  8 N 3.11, 4 O 3.22
O: 0.0000 0.0000 0.5000  2 Pb 2.11
N: 0.0000 0.5000 0.0000  2 Pb 2.28
N: 0.5000 0.0000 0.0000  2 Pb 2.28